## one
Compound: PPd2O
Source: Alexandria
Functional: PBE
Structure: relaxed

The structure in POSCAR format:
```
PPd2O
1.0
2.663 2.321 2.145
-1.109 3.771 1.276
-0.652 0.713 4.018
P O Pd
1 1 2
Direct
0.500 0.500 0.500 P
0.000 0.000 0.000 O
0.250 0.250 0.250 Pd
0.750 0.750 0.750 Pd
```

***

## two
Compound: PPd2O
Source: Alexandria
Functional: PBE
Structure: relaxed

The structure in POSCAR format:
```
PPd2O
1.0
5.615 0.000 0.000
0.000 5.615 0.000
2.807 2.807 4.003
P O Pd
2 2 4
Direct
0.000 0.000 0.000 P
0.750 0.250 0.500 P
0.500 0.500 0.000 O
0.250 0.750 0.500 O
0.612 0.125 0.250 Pd
0.138 0.625 0.250 Pd
0.375 0.388 0.750 Pd
0.875 0.862 0.750 Pd
```

***

The structure with the least stability is two.

***

## one
Compound: RbPPdO2
Source: Alexandria
Functional: PBE
Structure: relaxed

The structure in POSCAR format:
```
RbPPdO2
1.0
4.444 0.000 0.000
0.000 4.444 0.000
0.000 0.000 4.458
O P Rb Pd
2 1 1 1
Direct
0.000 0.500 0.000 O
0.500 0.000 0.000 O
0.000 0.000 0.500 P
0.500 0.500 0.500 Rb
0.000 0.000 0.000 Pd
```

***

## two
Compound: RbPPdO2
Source: Alexandria
Functional: PBE
Structure: relaxed

The structure in POSCAR format:
```
RbPPdO2
1.0
4.115 0.000 0.000
0.000 4.115 0.000
0.000 0.000 7.160
O P Rb Pd
2 1 1 1
Direct
0.000 0.500 0.000 O
0.500 0.000 0.000 O
0.000 0.000 0.500 P
0.000 0.000 0.000 Rb
0.500 0.500 0.500 Pd
```

***

The structure with the least stability is two.

***

## one
Compound: RePPdO2
Source: Alexandria
Functional: PBE
Structure: relaxed

The structure in POSCAR format:
```
RePPdO2
1.0
3.716 0.000 0.000
0.000 3.716 0.000
0.000 0.000 5.250
Re O Pd P
1 2 1 1
Direct
0.000 0.000 0.000 Re
0.000 0.500 0.000 O
0.500 0.000 0.000 O
0.500 0.500 0.500 Pd
0.000 0.000 0.500 P
```

***

## two
Compound: RePPdO2
Source: Alexandria
Functional: PBE
Structure: relaxed

The structure in POSCAR format:
```
RePPdO2
1.0
-3.726 0.579 -0.680
-0.696 -0.054 3.767
0.736 4.979 0.207
Re O Pd P
1 2 1 1
Direct
0.500 0.500 0.500 Re
0.000 0.500 0.000 O
0.500 0.000 0.000 O
0.000 0.000 0.000 Pd
0.000 0.000 0.500 P
```

***

The structure with the least stability is two.